# 1
# CuWSe

Crystalline CuWSe at its relaxed geometry (PBE, Alexandria).

abc: 7.222 7.024 2.860
angles: 82.35 74.55 23.11
Atoms (fractional coordinates):
Cu1 0.000 0.000 0.000
W1 0.354 0.354 0.646
Se1 0.709 0.709 0.291

Summary:
For the excess energy over the best structure of this formula in the dataset, the calculation gives 454.5 meV per atom. For the uncorrected formation energy, the calculation gives 0.556 eV/atom. For the total energy, the calculation gives -6.289 eV/atom.

=====

# 2
# SrZn2GaNi

Crystalline SrZn2GaNi at its relaxed geometry (PBE, Alexandria).

abc: 4.728 4.728 4.613
angles: 90.00 90.00 90.00
Atoms (fractional coordinates):
Sr1 0.000 0.000 0.000
Zn1 0.000 0.500 0.500
Zn2 0.500 0.000 0.500
Ga1 0.500 0.500 0.000
Ni1 0.500 0.500 0.500

Summary:
The calculation puts the formation energy from the elements at -0.26 eV/atom. For the excess energy over the best structure of this formula in the dataset, the calculation gives 0.0 meV per atom. For the total energy, the calculation gives -2.872 eV/atom.

=====

# 3
# La2FeCoN

Crystalline La2FeCoN at its relaxed geometry (PBE, Alexandria).

abc: 5.194 5.194 3.576
angles: 90.00 90.00 90.00
Atoms (fractional coordinates):
La1 0.000 0.500 0.000
La2 0.500 0.000 0.000
Fe1 0.000 0.000 0.500
Co1 0.500 0.500 0.500
N1 0.000 0.000 0.000

Summary:
For the uncorrected formation energy, the calculation gives -0.416 eV/atom. For the total energy, the calculation gives -7.165 eV/atom.

=====

# 4
# Cr2InS

Crystalline Cr2InS at its relaxed geometry (PBE, Alexandria).

abc: 4.677 4.677 4.677
angles: 60.00 60.00 60.00
Atoms (fractional coordinates):
Cr1 0.250 0.250 0.250
Cr2 0.750 0.750 0.750
In1 0.000 0.000 0.000
S1 0.500 0.500 0.500

Summary:
For the excess energy over the best structure of this formula in the dataset, the calculation gives 280.1 meV per atom. For the uncorrected formation energy, the calculation gives 0.532 eV/atom. For the total energy, the calculation gives -5.996 eV/atom.